<i>
Zn2Sb2Au | PBE-GGA | optimized geometry

density of states at the Fermi level: 3.94 states/eV/cell

a = 7.836 Å, b = 7.836 Å, c = 3.764 Å
α = 90.00°, β = 90.00°, γ = 90.00°
Sites, in units of the cell vectors:
Sb 0.302 0.802 0.000
Zn 0.386 0.114 0.500
Sb 0.198 0.302 0.000
Au 0.000 0.000 0.000
Sb 0.698 0.198 0.000
Au 0.500 0.500 0.000
Zn 0.886 0.386 0.500
Zn 0.114 0.614 0.500
Sb 0.802 0.698 0.000
Zn 0.614 0.886 0.500

=====

<ii>
Zn2Sb2Au | PBE-GGA | optimized geometry

density of states at the Fermi level: 1.82 states/eV/cell

a = 4.413 Å, b = 4.413 Å, c = 6.799 Å
α = 71.06°, β = 71.06°, γ = 90.00°
Sites, in units of the cell vectors:
Zn 0.597 0.597 0.806
Au 0.000 0.000 0.000
Zn 0.403 0.403 0.194
Sb 0.750 0.250 0.500
Sb 0.250 0.750 0.500

=====

<iii>
Zn2Sb2Au | PBE-GGA | optimized geometry

density of states at the Fermi level: 3.93 states/eV/cell

a = 7.117 Å, b = 7.117 Å, c = 4.125 Å
α = 90.00°, β = 90.00°, γ = 90.00°
Sites, in units of the cell vectors:
Sb 0.820 0.320 0.500
Au 0.000 0.000 0.000
Zn 0.372 0.872 0.000
Zn 0.872 0.628 0.000
Zn 0.628 0.128 0.000
Sb 0.320 0.180 0.500
Zn 0.128 0.372 0.000
Sb 0.680 0.820 0.500
Au 0.500 0.500 0.000
Sb 0.180 0.680 0.500

=====

It is <iii> that is most stable; the runner-up trails by 0.013 eV/atom.

=====

<i>
ZnSbAu6 | PBE-GGA | optimized geometry

density of states at the Fermi level: 0.89 states/eV/cell

a = 5.181 Å, b = 5.181 Å, c = 6.720 Å
α = 108.14°, β = 108.14°, γ = 104.92°
Sites, in units of the cell vectors:
Zn 0.000 0.000 0.000
Au 0.226 0.226 0.474
Au 0.127 0.609 0.250
Au 0.391 0.873 0.750
Sb 0.500 0.500 0.000
Au 0.774 0.774 0.526
Au 0.873 0.391 0.750
Au 0.609 0.127 0.250

=====

<ii>
ZnSbAu6 | PBE-GGA | optimized geometry

density of states at the Fermi level: 2.22 states/eV/cell

a = 4.195 Å, b = 4.195 Å, c = 8.469 Å
α = 90.00°, β = 90.00°, γ = 90.00°
Sites, in units of the cell vectors:
Au 0.500 0.500 0.000
Au 0.500 0.000 0.734
Au 0.000 0.500 0.266
Sb 0.000 0.000 0.000
Au 0.500 0.500 0.500
Au 0.500 0.000 0.266
Au 0.000 0.500 0.734
Zn 0.000 0.000 0.500

=====

It is <i> that is most stable; the runner-up trails by 0.008 eV/atom.

=====

<i>
ZnSb2Au2 | PBE-GGA | optimized geometry

density of states at the Fermi level: 4.98 states/eV/cell

a = 7.722 Å, b = 7.722 Å, c = 3.907 Å
α = 90.00°, β = 90.00°, γ = 90.00°
Sites, in units of the cell vectors:
Sb 0.318 0.818 0.000
Au 0.129 0.629 0.500
Zn 0.500 0.500 0.000
Sb 0.682 0.182 0.000
Au 0.871 0.371 0.500
Au 0.629 0.871 0.500
Sb 0.182 0.318 0.000
Zn 0.000 0.000 0.000
Sb 0.818 0.682 0.000
Au 0.371 0.129 0.500

=====

<ii>
ZnSb2Au2 | PBE-GGA | optimized geometry

density of states at the Fermi level: 3.50 states/eV/cell

a = 7.172 Å, b = 7.172 Å, c = 4.294 Å
α = 90.00°, β = 90.00°, γ = 90.00°
Sites, in units of the cell vectors:
Au 0.857 0.643 0.000
Sb 0.329 0.171 0.500
Zn 0.000 0.000 0.000
Au 0.643 0.143 0.000
Zn 0.500 0.500 0.000
Au 0.143 0.357 0.000
Au 0.357 0.857 0.000
Sb 0.171 0.671 0.500
Sb 0.829 0.329 0.500
Sb 0.671 0.829 0.500

=====

It is <ii> that is most stable; the runner-up trails by 0.049 eV/atom.

=====

<i>
ZnSbAu4 | PBE-GGA | optimized geometry

density of states at the Fermi level: 2.88 states/eV/cell

a = 4.391 Å, b = 4.391 Å, c = 6.627 Å
α = 90.00°, β = 90.00°, γ = 90.00°
Sites, in units of the cell vectors:
Au 0.500 0.000 0.724
Sb 0.000 0.000 0.000
Au 0.000 0.500 0.724
Au 0.000 0.500 0.276
Au 0.500 0.000 0.276
Zn 0.500 0.500 0.500

=====

<ii>
ZnSbAu4 | PBE-GGA | optimized geometry

density of states at the Fermi level: 3.92 states/eV/cell

a = 5.567 Å, b = 5.567 Å, c = 5.567 Å
α = 60.00°, β = 60.00°, γ = 60.00°
Sites, in units of the cell vectors:
Au 0.375 0.375 0.876
Au 0.876 0.375 0.375
Zn 0.000 0.000 0.000
Sb 0.750 0.750 0.750
Au 0.375 0.876 0.375
Au 0.375 0.375 0.375

=====

It is <i> that is most stable; the runner-up trails by 0.121 eV/atom.

=====

<i>
Zr2SbAu2 | PBE-GGA | optimized geometry

density of states at the Fermi level: 3.81 states/eV/cell

a = 4.620 Å, b = 4.620 Å, c = 6.561 Å
α = 69.39°, β = 69.39°, γ = 90.00°
Sites, in units of the cell vectors:
Au 0.386 0.386 0.228
Au 0.614 0.614 0.772
Sb 0.000 0.000 0.000
Zr 0.750 0.250 0.500
Zr 0.250 0.750 0.500

=====

<ii>
Zr2SbAu2 | PBE-GGA | optimized geometry

density of states at the Fermi level: 11.23 states/eV/cell

a = 7.307 Å, b = 7.307 Å, c = 4.014 Å
α = 90.00°, β = 90.00°, γ = 90.00°
Sites, in units of the cell vectors:
Zr 0.167 0.667 0.500
Sb 0.500 0.500 0.000
Zr 0.333 0.167 0.500
Zr 0.667 0.833 0.500
Au 0.631 0.131 0.000
Au 0.131 0.369 0.000
Au 0.869 0.631 0.000
Zr 0.833 0.333 0.500
Sb 0.000 0.000 0.000
Au 0.369 0.869 0.000

=====

<iii>
Zr2SbAu2 | PBE-GGA | optimized geometry

density of states at the Fermi level: 9.80 states/eV/cell

a = 7.612 Å, b = 7.612 Å, c = 3.867 Å
α = 90.00°, β = 90.00°, γ = 90.00°
Sites, in units of the cell vectors:
Au 0.865 0.365 0.500
Zr 0.159 0.341 0.000
Sb 0.500 0.500 0.000
Sb 0.000 0.000 0.000
Zr 0.659 0.159 0.000
Au 0.365 0.135 0.500
Zr 0.341 0.841 0.000
Zr 0.841 0.659 0.000
Au 0.635 0.865 0.500
Au 0.135 0.635 0.500

=====

It is <ii> that is most stable; the runner-up trails by 0.032 eV/atom.

=====

<i>
ZrSb3Au | PBE-GGA | optimized geometry

density of states at the Fermi level: 3.71 states/eV/cell

a = 5.489 Å, b = 5.489 Å, c = 5.489 Å
α = 90.00°, β = 90.00°, γ = 90.00°
Sites, in units of the cell vectors:
Au 0.500 0.500 0.500
Sb 0.000 0.000 0.500
Zr 0.000 0.000 0.000
Sb 0.000 0.500 0.000
Sb 0.500 0.000 0.000

=====

<ii>
ZrSb3Au | PBE-GGA | optimized geometry

density of states at the Fermi level: 4.88 states/eV/cell

a = 5.303 Å, b = 5.303 Å, c = 5.303 Å
α = 90.00°, β = 90.00°, γ = 90.00°
Sites, in units of the cell vectors:
Sb 0.000 0.500 0.000
Zr 0.500 0.500 0.500
Sb 0.000 0.000 0.500
Au 0.000 0.000 0.000
Sb 0.500 0.000 0.000

=====

It is <i> that is most stable; the runner-up trails by 0.213 eV/atom.

=====

<i>
ZrSbAu3 | PBE-GGA | optimized geometry

density of states at the Fermi level: 3.79 states/eV/cell

a = 5.091 Å, b = 5.091 Å, c = 5.091 Å
α = 90.00°, β = 90.00°, γ = 90.00°
Sites, in units of the cell vectors:
Sb 0.000 0.000 0.000
Au 0.500 0.000 0.000
Zr 0.500 0.500 0.500
Au 0.000 0.500 0.000
Au 0.000 0.000 0.500

=====

<ii>
ZrSbAu3 | PBE-GGA | optimized geometry

density of states at the Fermi level: 6.44 states/eV/cell

a = 5.213 Å, b = 5.213 Å, c = 5.213 Å
α = 90.00°, β = 90.00°, γ = 90.00°
Sites, in units of the cell vectors:
Au 0.000 0.000 0.500
Zr 0.000 0.000 0.000
Sb 0.500 0.500 0.500
Au 0.500 0.000 0.000
Au 0.000 0.500 0.000

=====

It is <i> that is most stable; the runner-up trails by 0.080 eV/atom.

=====

<i>
Sc2Au3 | PBE-GGA | optimized geometry

density of states at the Fermi level: 3.39 states/eV/cell

a = 4.680 Å, b = 4.680 Å, c = 5.742 Å
α = 90.00°, β = 90.00°, γ = 120.00°
Sites, in units of the cell vectors:
Sc 0.333 0.667 0.807
Sc 0.667 0.333 0.193
Au 0.667 0.333 0.687
Au 0.333 0.667 0.313
Au 0.000 0.000 0.000

=====

<ii>
Sc2Au3 | PBE-GGA | optimized geometry

density of states at the Fermi level: 2.35 states/eV/cell

a = 3.532 Å, b = 3.532 Å, c = 8.086 Å
α = 102.61°, β = 102.61°, γ = 90.00°
Sites, in units of the cell vectors:
Au 0.802 0.802 0.604
Sc 0.392 0.392 0.784
Sc 0.608 0.608 0.216
Au 0.198 0.198 0.396
Au 0.000 0.000 0.000

=====

<iii>
Sc2Au3 | PBE-GGA | optimized geometry

density of states at the Fermi level: 7.64 states/eV/cell

a = 8.336 Å, b = 7.644 Å, c = 5.520 Å
α = 76.70°, β = 63.17°, γ = 40.13°
Sites, in units of the cell vectors:
Au 0.314 0.477 0.766
Au 0.773 0.936 0.808
Au 0.221 0.279 0.279
Sc 0.033 0.372 0.855
Sc 0.395 0.510 0.217
Sc 0.878 0.217 0.510
Sc 0.740 0.855 0.372
Au 0.442 0.766 0.477
Au 0.971 0.029 0.029
Au 0.484 0.808 0.936

=====

<iv>
Sc2Au3 | PBE-GGA | optimized geometry

density of states at the Fermi level: 3.25 states/eV/cell

a = 10.020 Å, b = 10.020 Å, c = 10.020 Å
α = 20.43°, β = 20.43°, γ = 20.43°
Sites, in units of the cell vectors:
Sc 0.400 0.400 0.400
Au 0.000 0.000 0.000
Sc 0.600 0.600 0.600
Au 0.797 0.797 0.797
Au 0.203 0.203 0.203

=====

It is <ii> that is most stable; the runner-up trails by 0.137 eV/atom.

=====

<i>
Sc5Au | PBE-GGA | optimized geometry

density of states at the Fermi level: 10.65 states/eV/cell

a = 5.581 Å, b = 5.581 Å, c = 4.959 Å
α = 90.00°, β = 90.00°, γ = 120.00°
Sites, in units of the cell vectors:
Sc 0.312 0.312 0.000
Sc 0.333 0.667 0.500
Sc 0.667 0.333 0.500
Sc 0.688 0.000 0.000
Au 0.000 0.000 0.500
Sc 0.000 0.688 0.000

=====

<ii>
Sc5Au | PBE-GGA | optimized geometry

density of states at the Fermi level: 8.29 states/eV/cell

a = 5.705 Å, b = 5.705 Å, c = 5.282 Å
α = 90.00°, β = 90.00°, γ = 120.00°
Sites, in units of the cell vectors:
Sc 0.000 0.500 0.500
Au 0.000 0.000 0.000
Sc 0.667 0.333 0.000
Sc 0.500 0.000 0.500
Sc 0.333 0.667 0.000
Sc 0.500 0.500 0.500

=====

It is <i> that is most stable; the runner-up trails by 0.581 eV/atom.

=====

<i>
Sc5Au | PBE-GGA | optimized geometry

density of states at the Fermi level: 8.38 states/eV/cell

a = 8.059 Å, b = 8.059 Å, c = 4.917 Å
α = 90.00°, β = 90.00°, γ = 155.13°
Sites, in units of the cell vectors:
Au 0.007 0.993 0.000
Sc 0.668 0.332 0.000
Sc 0.885 0.115 0.500
Sc 0.218 0.782 0.500
Sc 0.347 0.653 0.000
Sc 0.541 0.459 0.500

=====

<ii>
Sc5Au | PBE-GGA | optimized geometry

density of states at the Fermi level: 8.16 states/eV/cell

a = 5.865 Å, b = 5.865 Å, c = 10.966 Å
α = 136.72°, β = 136.72°, γ = 34.19°
Sites, in units of the cell vectors:
Au 0.972 0.972 0.945
Sc 0.760 0.760 0.087
Sc 0.472 0.472 0.444
Sc 0.184 0.184 0.802
Sc 0.336 0.336 0.638
Sc 0.609 0.609 0.251

=====

<iii>
Sc5Au | PBE-GGA | optimized geometry

density of states at the Fermi level: 8.95 states/eV/cell

a = 3.343 Å, b = 3.343 Å, c = 12.382 Å
α = 90.00°, β = 90.00°, γ = 90.00°
Sites, in units of the cell vectors:
Sc 0.000 0.000 0.974
Sc 0.500 0.500 0.153
Sc 0.000 0.000 0.693
Au 0.500 0.500 0.833
Sc 0.000 0.000 0.333
Sc 0.500 0.500 0.514

=====

<iv>
Sc5Au | PBE-GGA | optimized geometry

density of states at the Fermi level: 8.89 states/eV/cell

a = 5.793 Å, b = 5.793 Å, c = 5.793 Å
α = 60.00°, β = 60.00°, γ = 60.00°
Sites, in units of the cell vectors:
Sc 0.376 0.376 0.873
Sc 0.873 0.376 0.376
Sc 0.376 0.873 0.376
Sc 0.376 0.376 0.376
Au 0.000 0.000 0.000
Sc 0.750 0.750 0.750

=====

It is <ii> that is most stable; the runner-up trails by 0.021 eV/atom.